Entry 1:
Here is TmGaAgPb after structural relaxation from the Alexandria database. Energies are from PBE.

Structure (POSCAR):
```
TmGaAgPb
1.0
0.000 3.597 3.597
3.597 0.000 3.597
3.597 3.597 0.000
Tm Ga Ag Pb
1 1 1 1
Direct
0.000 0.000 0.000
0.250 0.250 0.250
0.750 0.750 0.750
0.500 0.500 0.500
```

Formation energy from the elements = -0.154 eV per atom



Entry 2:
Here is YGaAgPb after structural relaxation from the Alexandria database. Energies are from PBE.

Structure (POSCAR):
```
YGaAgPb
1.0
0.000 3.617 3.617
3.617 0.000 3.617
3.617 3.617 0.000
Y Ga Ag Pb
1 1 1 1
Direct
0.000 0.000 0.000
0.250 0.250 0.250
0.750 0.750 0.750
0.500 0.500 0.500
```

Formation energy from the elements = -0.192 eV per atom



Entry 3:
Here is GaAg2Pd after structural relaxation from the Alexandria database. Energies are from PBE.

Structure (POSCAR):
```
GaAg2Pd
1.0
-3.676 3.676 2.660
3.676 -3.676 2.660
3.676 3.676 -2.660
Ga Ag Pd
2 4 2
Direct
0.000 0.000 0.000
0.750 0.250 0.500
0.109 0.125 0.484
0.375 0.891 0.016
0.641 0.625 0.516
0.875 0.359 0.984
0.250 0.750 0.500
0.500 0.500 0.000
```

Formation energy from the elements = 0.037 eV per atom



Entry 4:
Here is GaAgPd after structural relaxation from the Alexandria database. Energies are from PBE.

Structure (POSCAR):
```
GaAgPd
1.0
12.944 0.000 0.000
0.000 1.494 2.584
0.000 -1.494 2.584
Ga Ag Pd
2 2 2
Direct
0.176 0.000 0.000
0.824 0.000 0.000
0.000 0.668 0.668
0.500 0.000 0.000
0.321 0.666 0.666
0.679 0.666 0.666
```

Formation energy from the elements = -0.219 eV per atom
Energy above the lowest structure with this stoichiometry = 90 meV per atom



Entry 5:
Here is GaAgPd6 after structural relaxation from the Alexandria database. Energies are from PBE.

Structure (POSCAR):
```
GaAgPd6
1.0
3.909 -5.639 0.000
3.909 5.639 0.000
0.000 0.000 11.232
Ga Ag Pd
4 4 24
Direct
0.000 0.000 0.249
0.000 0.000 0.751
0.256 0.744 0.000
0.744 0.256 0.000
0.254 0.746 0.500
0.500 0.500 0.249
0.500 0.500 0.751
0.746 0.254 0.500
0.000 0.000 0.000
0.000 0.000 0.500
0.118 0.371 0.122
0.118 0.371 0.878
0.120 0.367 0.372
0.120 0.367 0.628
0.249 0.751 0.245
0.249 0.751 0.755
0.367 0.120 0.372
0.367 0.120 0.628
0.371 0.118 0.122
0.371 0.118 0.878
0.500 0.500 0.000
0.500 0.500 0.500
0.629 0.882 0.122
0.629 0.882 0.878
0.633 0.880 0.372
0.633 0.880 0.628
0.751 0.249 0.245
0.751 0.249 0.755
0.880 0.633 0.372
0.880 0.633 0.628
0.882 0.629 0.122
0.882 0.629 0.878
```

Formation energy from the elements = -0.230 eV per atom
Energy above the lowest structure with this stoichiometry = 0 meV per atom



Entry 6:
Here is Ga7Ag2Pd2 after structural relaxation from the Alexandria database. Energies are from PBE.

Structure (POSCAR):
```
Ga7Ag2Pd2
1.0
3.160 -4.005 0.000
3.160 4.005 0.000
-1.757 0.000 7.432
Ga Ag Pd
7 2 2
Direct
0.000 0.000 0.000
0.078 0.456 0.821
0.120 0.120 0.373
0.456 0.078 0.821
0.544 0.922 0.179
0.880 0.880 0.627
0.922 0.544 0.179
0.310 0.690 0.500
0.690 0.310 0.500
0.397 0.397 0.154
0.603 0.603 0.846
```

Formation energy from the elements = -0.218 eV per atom



- Which of these has the lowest formation energy from the elements?
  GaAgPd6



- What is the formation energy from the elements in the second record?
  -0.192 eV per atom